Density functional theory data (meta-GGA SCAN) for a crystal of PbAu4 relaxed with PBEsol.

Results
SG: I4/mmm (139)
DOS(E_F) (states/eV/cell): 1.77
Formation energy (eV per atom): -0.002

Cell and atoms, written as POSCAR:
```
PbAu4
1.0
-1.346 -3.331 1.500
1.824 -1.998 -2.800
5.261 2.202 4.562
Au Pb
4 1
Cartesian
3.662 -1.230 0.556
4.395 -0.369 3.126
1.344 -2.757 0.136
2.077 -1.897 2.706
0.000 0.000 0.000
```